[1]
A geometry-optimized Ba2AgAs structure. Source: Alexandria via LeMat-Bulk, functional PBE.

Summary:
Crystal system   tetragonal
Space-group type   No. 119
Energy of formation   -0.483 eV per atom
Energy   -13.3 eV/f.u.

POSCAR file:
```
Ba2AgAs
1.0
-1.0273 -2.7659 5.9505
-1.5157 -6.4586 0.3210
4.5531 3.8527 -2.9223
As Ba Ag
1 2 1
Direct
0.7500 0.2500 0.5000
0.0000 0.0000 0.0000
0.2500 0.7500 0.5000
0.5000 0.5000 0.0000
```

[2]
A geometry-optimized KReHg2 structure. Source: Alexandria via LeMat-Bulk, functional PBE.

Summary:
Crystal system   orthorhombic
Space-group type   No. 35
Energy of formation   0.815 eV per atom
Relative energy among the computed polymorphs   0.104 eV per atom
Energy   -10.9 eV/f.u.

POSCAR file:
```
KReHg2
1.0
-0.3225 1.2400 -2.5818
1.8220 -2.1603 -0.5665
-8.4388 -6.5669 -2.0998
Hg K Re
2 1 1
Direct
0.0000 0.0000 0.9798
0.5000 0.5000 0.2404
0.0000 0.0000 0.5105
0.5000 0.5000 0.7692
```

[3]
A geometry-optimized LaLuNiIr structure. Source: Alexandria via LeMat-Bulk, functional PBE.

Summary:
Crystal system   cubic
Space-group type   No. 216
Energy of formation   -0.548 eV per atom
Energy   -26.3 eV/f.u.

POSCAR file:
```
LaLuNiIr
1.0
4.8980 0.0000 0.0000
2.4490 4.2418 0.0000
2.4490 1.4139 3.9992
Ni Ir Lu La
1 1 1 1
Direct
0.2500 0.2500 0.2500
0.7500 0.7500 0.7500
0.0000 0.0000 0.0000
0.5000 0.5000 0.5000
```

[4]
A geometry-optimized HoMn7Fe5 structure. Source: Alexandria via LeMat-Bulk, functional PBE.

Summary:
Crystal system   orthorhombic
Space-group type   No. 44
Energy of formation   -0.002 eV per atom
Energy   -111.1 eV/f.u.

POSCAR file:
```
HoMn7Fe5
1.0
4.3292 0.0000 1.7779
2.1624 5.8692 0.8942
-0.0651 0.0246 6.3181
Ho Mn Fe
1 7 5
Direct
0.0016 0.9984 0.9984
0.6379 0.3621 0.3621
0.3630 0.6370 0.6370
0.9990 0.3614 0.6407
0.9990 0.6407 0.3614
0.2689 0.2311 0.2311
0.5000 0.7751 0.2249
0.5000 0.2249 0.7751
0.5005 0.9994 0.4998
0.0003 0.9994 0.4998
0.5005 0.4998 0.9994
0.0003 0.4998 0.9994
0.7290 0.7710 0.7710
```

Repeat the first record exactly.
A geometry-optimized Ba2AgAs structure. Source: Alexandria via LeMat-Bulk, functional PBE.

Summary:
Crystal system   tetragonal
Space-group type   No. 119
Energy of formation   -0.483 eV per atom
Energy   -13.3 eV/f.u.

POSCAR file:
```
Ba2AgAs
1.0
-1.0273 -2.7659 5.9505
-1.5157 -6.4586 0.3210
4.5531 3.8527 -2.9223
As Ba Ag
1 2 1
Direct
0.7500 0.2500 0.5000
0.0000 0.0000 0.0000
0.2500 0.7500 0.5000
0.5000 0.5000 0.0000
```

Which of these has the highest energy?
KReHg2

Please write out number 4 again, unchanged.
A geometry-optimized HoMn7Fe5 structure. Source: Alexandria via LeMat-Bulk, functional PBE.

Summary:
Crystal system   orthorhombic
Space-group type   No. 44
Energy of formation   -0.002 eV per atom
Energy   -111.1 eV/f.u.

POSCAR file:
```
HoMn7Fe5
1.0
4.3292 0.0000 1.7779
2.1624 5.8692 0.8942
-0.0651 0.0246 6.3181
Ho Mn Fe
1 7 5
Direct
0.0016 0.9984 0.9984
0.6379 0.3621 0.3621
0.3630 0.6370 0.6370
0.9990 0.3614 0.6407
0.9990 0.6407 0.3614
0.2689 0.2311 0.2311
0.5000 0.7751 0.2249
0.5000 0.2249 0.7751
0.5005 0.9994 0.4998
0.0003 0.9994 0.4998
0.5005 0.4998 0.9994
0.0003 0.4998 0.9994
0.7290 0.7710 0.7710
```

What is the formula in the second record?
KReHg2